[1]
The following is a DFT calculation (PBE-GGA) of AlHg3Te4 after structural relaxation.

The structure belongs to space group I-42m (No. 121); the cell edges are 6.704, 6.704 and 12.940 Å and the angles 90.00°, 90.00° and 90.00°. Symmetry generates all atoms from Al at (0.000, 0.000, 0.000), Hg at (0.000, 0.000, 0.500), Hg at (0.000, 0.500, 0.250) and Te at (0.231, 0.231, 0.881).

For the uncorrected formation energy, the calculation gives -0.184 eV per atom. The calculation puts the size of the total moment at 0.0 μB per cell. The density of states at the Fermi level is 5.1 states/eV per cell.

=====

[2]
The following is a DFT calculation (PBE-GGA) of NaSc3I after structural relaxation.

The structure belongs to space group Pm-3m (No. 221); the cell edges are 5.401, 5.401 and 5.401 Å and the angles 90.00°, 90.00° and 90.00°. Symmetry generates all atoms from Na at (0.000, 0.000, 0.000), Sc at (0.000, 0.500, 0.500) and I at (0.500, 0.500, 0.500).

For the uncorrected formation energy, the calculation gives 0.426 eV per atom. The calculation puts the size of the total moment at 0.0 μB per cell. The density of states at the Fermi level is 7.9 states/eV per cell.

=====

[3]
The following is a DFT calculation (PBE-GGA) of AuBrO after structural relaxation.

The structure belongs to space group Fddd (No. 70, origin choice 2); the cell edges are 8.439, 11.407 and 11.831 Å and the angles 90.00°, 90.00° and 90.00°. Symmetry generates all atoms from Au at (0.000, 0.000, 0.000), Br at (0.083, 0.375, 0.875) and O at (0.125, 0.327, 0.125).

For the uncorrected formation energy, the calculation gives 0.086 eV per atom. The calculation puts the size of the total moment at 0.2 μB per cell. The density of states at the Fermi level is 28.2 states/eV per cell.

=====

[4]
The following is a DFT calculation (PBE-GGA) of ErZn2Ag5 after structural relaxation.

The structure belongs to space group Immm (No. 71); the cell edges are 3.437, 8.303 and 10.576 Å and the angles 90.00°, 90.00° and 90.00°. Symmetry generates all atoms from Er at (0.000, 0.000, 0.000), Zn at (0.000, 0.500, 0.257), Ag at (0.000, 0.216, 0.364) and Ag at (0.000, 0.500, 0.000).

The value obtained for the formation energy is -0.104 eV per atom. The calculation puts the size of the total moment at 0.0 μB per cell. The density of states at the Fermi level is 5.1 states/eV per cell.

=====

[5]
The following is a DFT calculation (PBE-GGA) of GaTc after structural relaxation.

The structure belongs to space group P4/nmm (No. 129, origin choice 2); the cell edges are 3.121, 3.121 and 5.978 Å and the angles 90.00°, 90.00° and 90.00°. Symmetry generates all atoms from Ga at (0.250, 0.250, 0.130) and Tc at (0.250, 0.250, 0.632).

The value obtained for the formation energy is -0.175 eV per atom. The calculation puts the size of the total moment at 0.0 μB per cell. The density of states at the Fermi level is 1.3 states/eV per cell.

=====

[6]
The following is a DFT calculation (PBE-GGA) of V2ReMo2 after structural relaxation.

The structure belongs to space group P2_1/m (No. 11); the cell edges are 4.345, 4.367 and 8.014 Å and the angles 90.00°, 105.62° and 90.00°. Symmetry generates all atoms from V at (0.052, 0.250, 0.104), V at (0.249, 0.250, 0.498), Re at (0.150, 0.750, 0.301), Mo at (0.349, 0.750, 0.697) and Mo at (0.449, 0.250, 0.899).

The value obtained for the formation energy is -0.220 eV per atom. The calculation puts the size of the total moment at 0.0 μB per cell. The density of states at the Fermi level is 4.7 states/eV per cell.

=====

[7]
The following is a DFT calculation (PBE-GGA) of GaHPt2Rh after structural relaxation.

The structure belongs to space group P4/mmm (No. 123); the cell edges are 3.957, 3.957 and 4.019 Å and the angles 90.00°, 90.00° and 90.00°. Symmetry generates all atoms from Ga at (0.000, 0.000, 0.000), H at (0.500, 0.500, 0.500), Pt at (0.000, 0.500, 0.500) and Rh at (0.500, 0.500, 0.000).

The calculation puts the size of the total moment at 0.0 μB per cell. The density of states at the Fermi level is 3.3 states/eV per cell.

=====

[8]
The following is a DFT calculation (PBE-GGA) of TiNb2Al2 after structural relaxation.

The structure belongs to space group P4/mbm (No. 127); the cell edges are 8.009, 8.009 and 2.810 Å and the angles 90.00°, 90.00° and 90.00°. Symmetry generates all atoms from Ti at (0.000, 0.000, 0.000), Nb at (0.117, 0.383, 0.000) and Al at (0.180, 0.680, 0.500).

The value obtained for the formation energy is 0.002 eV per atom. The calculation puts the size of the total moment at 0.0 μB per cell. The density of states at the Fermi level is 5.5 states/eV per cell.

=====

[9]
The following is a DFT calculation (PBE-GGA) of Dy4GaAsSe2 after structural relaxation.

The structure belongs to space group P2/m (No. 10); the cell edges are 7.179, 4.047 and 7.195 Å and the angles 90.00°, 108.77° and 90.00°. Symmetry generates all atoms from Dy at (0.248, 0.000, 0.238), Dy at (0.251, 0.500, 0.756), Ga at (0.500, 0.000, 0.000), As at (0.000, 0.500, 0.000), Se at (0.000, 0.000, 0.500) and Se at (0.500, 0.500, 0.500).

For the uncorrected formation energy, the calculation gives -1.434 eV per atom. The calculation puts the size of the total moment at 0.0 μB per cell. The density of states at the Fermi level is 2.4 states/eV per cell.

=====

[10]
The following is a DFT calculation (PBE-GGA) of Ce2PmSb after structural relaxation.

The structure belongs to space group Fm-3m (No. 225); the cell edges are 7.719, 7.719 and 7.719 Å and the angles 90.00°, 90.00° and 90.00°. Symmetry generates all atoms from Ce at (0.250, 0.250, 0.250), Pm at (0.000, 0.000, 0.000) and Sb at (0.000, 0.000, 0.500).

For the uncorrected formation energy, the calculation gives -0.247 eV per atom. The calculation puts the size of the total moment at 8.7 μB per cell. The density of states at the Fermi level is 48.6 states/eV per cell.

=====

[11]
The following is a DFT calculation (PBE-GGA) of Bi2Sb2F after structural relaxation.

The structure belongs to space group P4/mbm (No. 127); the cell edges are 7.009, 7.009 and 5.453 Å and the angles 90.00°, 90.00° and 90.00°. Symmetry generates all atoms from Bi at (0.180, 0.320, 0.000), Sb at (0.152, 0.652, 0.500) and F at (0.000, 0.000, 0.000).

For the uncorrected formation energy, the calculation gives -0.331 eV per atom. The calculation puts the size of the total moment at 0.0 μB per cell. The density of states at the Fermi level is 3.7 states/eV per cell.

=====

[12]
The following is a DFT calculation (PBE-GGA) of Cd2InHg4Pb after structural relaxation.

The structure belongs to space group F222 (No. 22); the cell edges are 8.686, 8.706 and 12.062 Å and the angles 90.00°, 90.00° and 90.00°. Symmetry generates all atoms from Cd at (0.000, 0.000, 0.000), Cd at (0.250, 0.250, 0.250), In at (0.250, 0.250, 0.750), Hg at (0.000, 0.000, 0.244), Hg at (0.250, 0.250, 0.002) and Pb at (0.000, 0.000, 0.500).

The value obtained for the formation energy is 0.061 eV per atom. The calculation puts the size of the total moment at 0.0 μB per cell. The density of states at the Fermi level is 18.5 states/eV per cell.

=====

[13]
The following is a DFT calculation (PBE-GGA) of Mg3OsN after structural relaxation.

The structure belongs to space group Pm-3m (No. 221); the cell edges are 4.999, 4.999 and 4.999 Å and the angles 90.00°, 90.00° and 90.00°. Symmetry generates all atoms from Mg at (0.000, 0.000, 0.500), Os at (0.000, 0.000, 0.000) and N at (0.500, 0.500, 0.500).

For the uncorrected formation energy, the calculation gives 1.546 eV per atom. The calculation puts the size of the total moment at 2.1 μB per cell. The density of states at the Fermi level is 2.9 states/eV per cell.

=====

[14]
The following is a DFT calculation (PBE-GGA) of K4CuPt after structural relaxation.

The structure belongs to space group F-43m (No. 216); the cell edges are 9.359, 9.359 and 9.359 Å and the angles 90.00°, 90.00° and 90.00°. Symmetry generates all atoms from K at (0.124, 0.124, 0.124), Cu at (0.000, 0.000, 0.500) and Pt at (0.250, 0.250, 0.750).

The value obtained for the formation energy is 0.689 eV per atom. The calculation puts the size of the total moment at 2.7 μB per cell. The density of states at the Fermi level is 14.0 states/eV per cell.

=====

[15]
The following is a DFT calculation (PBE-GGA) of Rb4SiTe4 after structural relaxation.

The structure belongs to space group P4_2/nmc (No. 137, origin choice 2); the cell edges are 10.253, 10.253 and 7.712 Å and the angles 90.00°, 90.00° and 90.00°. Symmetry generates all atoms from Rb at (0.019, 0.250, 0.083), Si at (0.250, 0.750, 0.250) and Te at (0.041, 0.750, 0.431).

For the uncorrected formation energy, the calculation gives -0.824 eV per atom. The calculation puts the size of the total moment at 0.0 μB per cell.

=====

[16]
The following is a DFT calculation (PBE-GGA) of PrNd2Pd after structural relaxation.

The structure belongs to space group P2_1/m (No. 11); the cell edges are 3.926, 9.967 and 6.498 Å and the angles 90.00°, 107.57° and 90.00°. Symmetry generates all atoms from Pr at (0.072, 0.250, 0.146), Nd at (0.364, 0.060, 0.728) and Pd at (0.230, 0.750, 0.459).

The value obtained for the formation energy is -0.389 eV per atom. The calculation puts the size of the total moment at 0.0 μB per cell. The density of states at the Fermi level is 11.4 states/eV per cell.

=====

[17]
The following is a DFT calculation (PBE-GGA) of Ho3Sc6Tl after structural relaxation.

The structure belongs to space group Cmc2_1 (No. 36); the cell edges are 12.312, 14.697 and 5.981 Å and the angles 90.00°, 90.00° and 90.00°. Symmetry generates all atoms from Ho at (0.000, 0.136, 0.000), Ho at (0.199, 0.414, 0.656), Sc at (0.000, 0.255, 0.496), Sc at (0.000, 0.451, 0.333), Sc at (0.117, 0.063, 0.505), Sc at (0.209, 0.299, 0.194) and Tl at (0.000, 0.341, 0.938).

The value obtained for the formation energy is 0.105 eV per atom. The calculation puts the size of the total moment at 0.0 μB per cell. The density of states at the Fermi level is 53.7 states/eV per cell.

=====

[18]
The following is a DFT calculation (PBE-GGA) of LaInSeO2 after structural relaxation.

The structure belongs to space group Cmcm (No. 63); the cell edges are 5.541, 12.354 and 5.604 Å and the angles 90.00°, 90.00° and 90.00°. Symmetry generates all atoms from La at (0.000, 0.109, 0.250), In at (0.000, 0.423, 0.250), Se at (0.000, 0.245, 0.750) and O at (0.246, 0.500, 0.000).

For the uncorrected formation energy, the calculation gives -1.993 eV per atom. The calculation puts the size of the total moment at 0.0 μB per cell. The density of states at the Fermi level is 5.7 states/eV per cell.

=====

[19]
The following is a DFT calculation (PBE-GGA) of MnCuNi3 after structural relaxation.

The structure belongs to space group Cmcm (No. 63); the cell edges are 5.809, 10.055 and 4.308 Å and the angles 90.00°, 90.00° and 90.00°. Symmetry generates all atoms from Mn at (0.000, 0.166, 0.250), Cu at (0.000, 0.500, 0.000), Ni at (0.000, 0.297, 0.750) and Ni at (0.195, 0.101, 0.750).

The value obtained for the formation energy is 0.708 eV per atom. The calculation puts the size of the total moment at 0.1 μB per cell. The density of states at the Fermi level is 31.9 states/eV per cell.

=====

[20]
The following is a DFT calculation (PBE-GGA) of Sm4Pd2Rh after structural relaxation.

The structure belongs to space group Cmmm (No. 65); the cell edges are 7.108, 10.079 and 4.924 Å and the angles 90.00°, 90.00° and 90.00°. Symmetry generates all atoms from Sm at (0.246, 0.000, 0.000), Sm at (0.250, 0.250, 0.500), Pd at (0.000, 0.254, 0.000) and Rh at (0.000, 0.000, 0.500).

The value obtained for the formation energy is -0.642 eV per atom. The calculation puts the size of the total moment at 0.0 μB per cell. The density of states at the Fermi level is 10.2 states/eV per cell.

=====

Number 1: E_tot -37.37 eV per cell. Number 2: E_tot -19.73 eV per cell. Number 3: E_tot -154.38 eV per cell. Number 4: E_tot -44.39 eV per cell. Number 5: E_tot -27.48 eV per cell. Number 6: E_tot -106.89 eV per cell. Number 7: E_tot -27.23 eV per cell. Number 8: E_tot -71.02 eV per cell. Number 9: E_tot -44.53 eV per cell. Number 10: E_tot -86.92 eV per cell. Number 11: E_tot -39.06 eV per cell. Number 12: E_tot -35.99 eV per cell. Number 13: E_tot -16.61 eV per cell. Number 14: E_tot -41.56 eV per cell. Number 15: E_tot -58.56 eV per cell. Number 16: E_tot -42.12 eV per cell. Number 17: E_tot -212.14 eV per cell. Number 18: E_tot -124.13 eV per cell. Number 19: E_tot -108.28 eV per cell. Number 20: E_tot -82.22 eV per cell.